## i
VASP calculation (GGA-PBE) on an optimized crystal structure of NaCaDy.

```
6
Lattice="-2.6207 -0.7288 2.5496 -1.2771 -3.4775 0.4191 11.5641 -4.6441 13.2848" Properties=species:S:1:pos:R:3 pbc="T T T"
Dy 8.0060 -7.2065 14.3467
Dy -0.3396 -1.6440 1.9068
Na 6.2369 -3.3015 8.1929
Na 1.4294 -5.5490 8.0606
Ca 7.1776 -5.2681 11.3234
Ca 0.4888 -3.5823 4.9301
```

Summary:
SG: R-3m (166)
Crystal system: trigonal

## ii
VASP calculation (GGA-PBE) on an optimized crystal structure of NaCaDy.

```
3
Lattice="-2.6105 -0.8139 -2.4233 3.5167 -0.1717 -0.9763 0.3048 -8.9109 2.6645" Properties=species:S:1:pos:R:3 pbc="T T T"
Na -0.4685 -3.5113 -1.0704
Ca 1.6805 -6.4145 0.3441
Dy 0.3038 -8.8816 2.6557
```

Summary:
SG: P3m1 (156)
Crystal system: trigonal

Most stable one: i, least stable one: ii.

## i
VASP calculation (GGA-PBE) on an optimized crystal structure of Ca2NdDy.

```
4
Lattice="3.6937 0.0000 0.5028 1.8126 3.2184 0.5028 0.1786 0.1044 12.5069" Properties=species:S:1:pos:R:3 pbc="T T T"
Ca 2.4239 1.4167 9.8310
Ca 4.7004 2.7473 6.9266
Dy 5.5037 3.2168 1.0255
Nd 1.4605 0.8536 3.0898
```

Summary:
SG: R3m (160)
Crystal system: trigonal

## ii
VASP calculation (GGA-PBE) on an optimized crystal structure of Ca2NdDy.

```
4
Lattice="-4.6154 2.9088 1.3114 -2.1395 -4.2303 1.8532 1.9494 1.0244 4.5888" Properties=species:S:1:pos:R:3 pbc="T T T"
Ca 0.9747 0.5122 2.2944
Ca -1.0698 -2.1151 0.9266
Nd -2.3077 1.4544 0.6557
Dy -2.4027 -0.1486 3.8767
```

Summary:
SG: P4/mmm (123)
Crystal system: tetragonal

## iii
VASP calculation (GGA-PBE) on an optimized crystal structure of Ca2NdDy.

```
4
Lattice="-3.3501 -1.5386 -0.1559 -0.8620 -2.7776 2.2708 -5.5206 6.6771 9.0693" Properties=species:S:1:pos:R:3 pbc="T T T"
Nd -4.8632 1.1742 5.5857
Ca -4.5003 4.6655 6.9962
Ca -2.4237 0.5715 2.7767
Dy -2.8119 -2.8699 1.4177
```

Summary:
SG: R3m (160)
Crystal system: trigonal

Most stable one: i, least stable one: ii.

## i
VASP calculation (GGA-PBE) on an optimized crystal structure of Ca2NdDy.

```
4
Lattice="-0.9205 1.7508 -5.5602 -5.4546 -0.0732 -2.2520 -2.8200 5.0732 -1.0677" Properties=species:S:1:pos:R:3 pbc="T T T"
Nd -4.5975 3.3754 -4.4400
Ca -2.2988 1.6877 -2.2200
Ca -6.8963 5.0631 -6.6600
Dy 0.0000 0.0000 0.0000
```

Summary:
SG: Fm-3m (225)
Crystal system: cubic

## ii
VASP calculation (GGA-PBE) on an optimized crystal structure of Ca2NdDy.

```
4
Lattice="3.5937 0.0000 0.0000 1.7969 3.1123 0.0000 1.7969 1.0374 13.2582" Properties=species:S:1:pos:R:3 pbc="T T T"
Nd 0.0000 0.0000 0.0000
Ca 5.3906 3.1123 3.5445
Ca 1.7969 1.0374 9.7137
Dy 3.5937 2.0749 6.6291
```

Summary:
SG: R-3m (166)
Crystal system: trigonal

Most stable one: i, least stable one: ii.

## i
VASP calculation (GGA-PBE) on an optimized crystal structure of CaNd2Dy.

```
4
Lattice="-5.0077 -3.0202 -0.2038 -1.3209 -3.7672 4.2783 -4.3152 1.2329 3.7549" Properties=species:S:1:pos:R:3 pbc="T T T"
Nd -2.6609 -1.3886 1.9573
Nd -7.9828 -4.1658 5.8720
Ca -5.3219 -2.7772 3.9147
Dy 0.0000 0.0000 0.0000
```

Summary:
SG: Fm-3m (225)
Crystal system: cubic

## ii
VASP calculation (GGA-PBE) on an optimized crystal structure of CaNd2Dy.

```
4
Lattice="3.6691 0.0000 0.0000 0.0000 3.6691 0.0000 0.0000 0.0000 10.5474" Properties=species:S:1:pos:R:3 pbc="T T T"
Ca 1.8346 1.8346 5.2737
Nd 0.0000 0.0000 8.0806
Nd 0.0000 0.0000 2.4668
Dy 1.8346 1.8346 0.0000
```

Summary:
SG: P4/mmm (123)
Crystal system: tetragonal

## iii
VASP calculation (GGA-PBE) on an optimized crystal structure of CaNd2Dy.

```
4
Lattice="3.6617 0.0000 0.0000 1.8308 3.1711 0.0000 1.8308 1.0570 12.2065" Properties=species:S:1:pos:R:3 pbc="T T T"
Ca 3.6617 2.1141 6.0958
Nd 1.8308 1.0570 2.8741
Nd 1.8308 1.0570 9.3334
Dy 3.6616 2.1141 0.0065
```

Summary:
SG: R3m (160)
Crystal system: trigonal

## iv
VASP calculation (GGA-PBE) on an optimized crystal structure of CaNd2Dy.

```
4
Lattice="5.0663 0.0000 0.0000 0.0000 5.2589 0.0000 0.0000 0.0000 5.2589" Properties=species:S:1:pos:R:3 pbc="T T T"
Nd 0.0000 2.6295 0.0000
Nd 0.0000 0.0000 2.6295
Dy 2.5331 2.6295 2.6295
Ca 2.5331 0.0000 0.0000
```

Summary:
SG: P4/mmm (123)
Crystal system: tetragonal

Most stable one: iii, least stable one: i.

## i
VASP calculation (GGA-PBE) on an optimized crystal structure of CaNd7Dy3.

```
11
Lattice="6.5552 0.0201 0.4439 0.4339 7.7536 1.0868 0.0002 0.0257 7.8414" Properties=species:S:1:pos:R:3 pbc="T T T"
Nd 1.7074 0.6235 3.5264
Nd 5.1318 4.5016 8.1832
Nd 5.2819 7.1759 5.8457
Nd 1.8575 3.2978 1.1889
Nd 1.7019 5.9662 6.9352
Nd 5.2874 1.8332 2.4369
Nd 0.2171 3.8897 4.4641
Ca 3.4947 3.8997 4.6860
Dy 3.2776 0.0100 0.2219
Dy 0.3615 6.4629 2.2149
Dy 0.0727 1.3164 6.7132
```

Summary:
SG: C2/m (12)
Crystal system: monoclinic

## ii
VASP calculation (GGA-PBE) on an optimized crystal structure of CaNd7Dy3.

```
11
Lattice="8.7696 0.0000 0.0000 0.0000 7.2544 0.0000 0.0000 -3.6272 6.2825" Properties=species:S:1:pos:R:3 pbc="T T T"
Nd 0.9251 -1.8390 5.2501
Nd 3.9938 5.4247 1.0564
Nd 0.9251 1.8390 5.2501
Nd 1.0954 3.6272 2.0942
Nd 3.9938 1.8297 1.0564
Nd 0.9251 0.0000 2.0649
Nd 3.9938 3.6272 4.1698
Dy 6.9067 5.4156 3.1267
Dy 6.9067 1.8388 3.1267
Dy 6.9067 3.6272 0.0291
Ca 3.9004 0.0000 4.1883
```

Summary:
SG: P3m1 (156)
Crystal system: trigonal

Most stable one: ii, least stable one: i.

## i
VASP calculation (GGA-PBE) on an optimized crystal structure of CaNd7Dy2.

```
10
Lattice="5.8406 0.0000 0.0000 0.0000 9.2054 -0.3257 0.0000 -4.4437 8.0684" Properties=species:S:1:pos:R:3 pbc="T T T"
Nd 2.9203 2.3808 3.8713
Nd 2.9203 -0.7528 2.4066
Nd 2.9203 5.5144 5.3360
Nd 0.0000 5.8914 1.7123
Nd 0.0000 -1.1298 6.0303
Nd 2.9203 2.2742 7.3287
Nd 2.9203 2.4874 0.4140
Dy 2.9203 -0.4130 5.5895
Dy 2.9203 5.1746 2.1531
Ca 0.0000 0.0000 0.0000
```

Summary:
SG: Cmmm (65)
Crystal system: orthorhombic

## ii
VASP calculation (GGA-PBE) on an optimized crystal structure of CaNd7Dy2.

```
10
Lattice="-3.7650 -2.7190 4.8683 -5.0751 -7.3844 -2.3216 9.6440 2.5313 2.1171" Properties=species:S:1:pos:R:3 pbc="T T T"
Dy 2.9717 0.0201 1.8499
Dy -2.1677 -7.5922 2.8139
Nd 1.9374 -3.6357 4.9316
Nd -4.4200 -5.0517 1.2733
Nd -5.3766 -8.4191 1.2819
Nd 6.1805 0.8470 3.3819
Nd -1.0432 -4.4156 3.1643
Nd 1.8471 -3.1565 1.4995
Nd -1.1335 -3.9364 -0.2678
Ca 0.0000 0.0000 0.0000
```

Summary:
SG: P-1 (2)
Crystal system: triclinic

Most stable one: ii, least stable one: i.

## i
VASP calculation (GGA-PBE) on an optimized crystal structure of Ca2Nd4Dy.

```
7
Lattice="3.5421 0.0000 -0.5924 -0.2519 5.7336 -1.5064 0.2567 0.2008 12.4208" Properties=species:S:1:pos:R:3 pbc="T T T"
Ca 1.0611 1.7110 6.3447
Ca 2.4858 4.2234 3.9773
Nd 1.2826 5.1377 7.6693
Nd 2.2643 0.7967 2.6528
Nd 0.1771 3.3570 1.0587
Nd 3.3698 2.5774 9.2633
Dy 0.0000 0.0000 0.0000
```

Summary:
SG: Immm (71)
Crystal system: orthorhombic

## ii
VASP calculation (GGA-PBE) on an optimized crystal structure of Ca2Nd4Dy.

```
7
Lattice="-5.2520 -2.3468 -0.5088 2.1166 -3.9461 -3.6467 3.3363 -2.3154 9.0145" Properties=species:S:1:pos:R:3 pbc="T T T"
Dy 0.0000 0.0000 0.0000
Ca 1.3204 -4.0778 5.1789
Ca -1.1195 -4.5305 -0.3199
Nd -2.6260 -1.1734 -0.2544
Nd 0.6097 -1.8828 2.3912
Nd -0.4088 -6.7255 2.4678
Nd 1.0583 -1.9730 -1.8233
```

Summary:
SG: I4/mmm (139)
Crystal system: tetragonal

Most stable one: i, least stable one: ii.

## i
VASP calculation (GGA-PBE) on an optimized crystal structure of CaPrNdDy.

```
4
Lattice="3.6760 0.0000 0.0000 0.0000 3.6760 0.0000 0.0000 0.0000 10.5828" Properties=species:S:1:pos:R:3 pbc="T T T"
Ca 0.0000 0.0000 0.7407
Dy 0.0000 0.0000 6.0592
Pr 1.8380 1.8380 3.5665
Nd 1.8380 1.8380 8.5207
```

Summary:
SG: P4mm (99)
Crystal system: tetragonal

## ii
VASP calculation (GGA-PBE) on an optimized crystal structure of CaPrNdDy.

```
4
Lattice="-1.7584 -3.8660 -4.0457 -3.7610 -4.2601 1.4534 -5.5132 0.1478 -1.9971" Properties=species:S:1:pos:R:3 pbc="T T T"
Dy 0.0000 0.0000 0.0000
Pr -8.2744 -5.9837 -3.4420
Nd -2.7581 -1.9946 -1.1473
Ca -5.5163 -3.9892 -2.2947
```

Summary:
SG: F-43m (216)
Crystal system: cubic

Most stable one: i, least stable one: ii.